Material: BeTlIn2H
Method: DFT, GGA-PBE
State: relaxed

Unit cell a=5.5006 b=3.2939 c=5.5006 alpha=90.00 beta=90.00 gamma=90.00
Closest atoms and distances in Å follow each position.
Element x y z (fractional)
1 In 0.0000 0.0000 0.5000  2 Be 2.75
2 Tl 0.5000 0.5000 0.5000  8 In 3.21, 2 Tl 3.29
3 In 0.5000 0.0000 0.0000  2 Be 2.75
4 Be 0.0000 0.0000 0.0000  2 H 1.65
5 H 0.0000 0.5000 0.0000  2 Be 1.65

Values from the calculation:
Total DFT energy (no corrections) ... -13.24 eV/cell
Mass density ... 7398 kg/m³
Symmetry ... P4/mmm